A plane-wave DFT calculation with PBE-GGA was carried out for a relaxed VRe2PRh crystal.

As for the formation enthalpy at 0 K: 1941 meV per atom. The value obtained for the magnetization is 0.3 μB per formula unit. The density of states at the Fermi level comes out at 1.6163 states/eV per atom.

The space group is P4/mmm (No. 123) and the conventional cell measures 4.7157, 4.7157 and 4.2321 Å, with angles of 90.00, 90.00 and 90.00 degrees. The distinct sites, in fractional coordinates, are V at (0.0000, 0.0000, 0.0000), Re at (0.0000, 0.5000, 0.5000), P at (0.5000, 0.5000, 0.0000) and Rh at (0.5000, 0.5000, 0.5000).